! Cr2FeSb PBE relaxed; values from VASP
! E_form (uncorrected): 1.1 eV per formula unit
! SG: I4/mmm
! total magnetization: 0.045 μB per cell
&SYSTEM
  ibrav = 0, nat = 8, ntyp = 3
/
ATOMIC_SPECIES
Cr 52.00 Cr.upf
Fe 55.84 Fe.upf
Sb 121.76 Sb.upf
CELL_PARAMETERS angstrom
3.728 0.000 0.000
0.000 3.728 0.000
0.000 0.000 7.890
ATOMIC_POSITIONS crystal
Cr 0.000 0.500 0.250
Cr 0.000 0.500 0.750
Cr 0.500 0.000 0.250
Cr 0.500 0.000 0.750
Fe 0.000 0.000 0.000
Fe 0.500 0.500 0.500
Sb 0.000 0.000 0.500
Sb 0.500 0.500 0.000